! ZrCoSO2 | Alexandria via LeMat-Bulk | PBE+U | relaxed; values from VASP
! - Total energy: -31.3 eV for the cell shown
! - SG: P4/mmm, No. 123
&SYSTEM
  ibrav = 0, nat = 5, ntyp = 4
/
ATOMIC_SPECIES
S 32.06 S.upf
Co 58.93 Co.upf
O 16.00 O.upf
Zr 91.22 Zr.upf
CELL_PARAMETERS angstrom
-1.538 2.468 -2.125
-2.521 -2.390 -0.952
-3.155 1.653 4.204
ATOMIC_POSITIONS crystal
S 0.500 0.500 0.500
Co 0.000 0.000 0.000
O 0.000 0.500 0.000
O 0.500 0.000 0.000
Zr 0.000 0.000 0.500